# TbPm3TmSc

A geometry-optimized TbPm3TmSc structure (PBE-GGA, the Alexandria database).

Cell lengths 7.890, 5.041, 10.048 Å; angles 90.00, 108.65, 90.00 degrees
Element x y z (fractional)
1 Tb 0.176 0.250 0.297
2 Tb 0.824 0.750 0.703
3 Pm 0.170 0.750 0.045
4 Pm 0.173 0.250 0.790
5 Pm 0.176 0.750 0.541
6 Pm 0.824 0.250 0.459
7 Pm 0.827 0.750 0.210
8 Pm 0.830 0.250 0.955
9 Tm 0.498 0.250 0.128
10 Tm 0.502 0.750 0.872
11 Sc 0.499 0.750 0.379
12 Sc 0.501 0.250 0.621

Output
Calculated total energy: -29.4 eV per formula unit
Magnetization: 0.00 Bohr magnetons per cell
Energy relative to the elements: 24.2 kJ/mol of formula units
Crystal system: monoclinic


# SrTcNi2

A geometry-optimized SrTcNi2 structure (PBE-GGA, the Alexandria database).

Cell lengths 9.034, 9.034, 9.034 Å; angles 18.75, 18.75, 18.75 degrees
Element x y z (fractional)
1 Sr 0.000 0.000 0.000
2 Tc 0.500 0.500 0.500
3 Ni 0.237 0.237 0.237
4 Ni 0.763 0.763 0.763

Output
Calculated total energy: -20.4 eV per formula unit
Magnetization: 0.00 Bohr magnetons per cell
Relative energy among the computed polymorphs: 674 meV/atom
Energy relative to the elements: 309.7 kJ/mol of formula units
Crystal system: trigonal


# In2Pd8Pt

A geometry-optimized In2Pd8Pt structure (PBE-GGA, the Alexandria database).

Cell lengths 7.429, 7.429, 6.396 Å; angles 106.69, 106.69, 32.01 degrees
Element x y z (fractional)
1 In 0.220 0.220 0.157
2 In 0.780 0.780 0.843
3 Pd 0.040 0.040 0.231
4 Pd 0.141 0.141 0.689
5 Pd 0.325 0.325 0.590
6 Pd 0.406 0.406 0.049
7 Pd 0.594 0.594 0.951
8 Pd 0.675 0.675 0.410
9 Pd 0.859 0.859 0.311
10 Pd 0.960 0.960 0.769
11 Pt 0.500 0.500 0.500

Output
Calculated total energy: -56.3 eV per formula unit
Magnetization: 0.00 Bohr magnetons per cell
Relative energy among the computed polymorphs: 0 meV/atom
Energy relative to the elements: -309.6 kJ/mol of formula units
Crystal system: monoclinic


# LaSc2TlO

A geometry-optimized LaSc2TlO structure (PBE-GGA, the Alexandria database).

Cell lengths 4.614, 4.614, 4.969 Å; angles 90.00, 90.00, 90.00 degrees
Element x y z (fractional)
1 La 0.000 0.000 0.000
2 Sc 0.000 0.500 0.500
3 Sc 0.500 0.000 0.500
4 Tl 0.500 0.500 0.000
5 O 0.000 0.000 0.500

Output
Uncorrected formation energy: -6.388 eV/f.u.
Calculated total energy: -31.3 eV per formula unit
Magnetization: 0.00 Bohr magnetons per cell
Crystal system: tetragonal